No. 1
# TbY4Se4, optimized geometry, DFT GGA-PBE
# energy relative to the elements, uncorrected	-1542	meV/atom
# symmetry	I4/m
# E	-58.31	eV per cell
# DOS at the Fermi energy	0.65	states/eV per atom
data_TbY4Se4
_chemical_formula_sum 'Tb1 Y4 Se4'
_cell_length_a 5.733
_cell_length_b 6.992
_cell_length_c 6.992
_cell_angle_alpha 80.30
_cell_angle_beta 65.80
_cell_angle_gamma 65.79
_space_group_name_H-M_alt 'P 1'
_space_group_IT_number 1
_space_group_name_Hall 'P 1'
loop_
_atom_site_label
_atom_site_type_symbol
_atom_site_fract_x
_atom_site_fract_y
_atom_site_fract_z
Tb1 Tb 0.000 0.000 0.000
Y1 Y 0.398 0.398 0.806
Se1 Se 0.697 0.206 0.399
Se2 Se 0.303 0.794 0.601
Y2 Y 0.796 0.806 0.602
Se3 Se 0.903 0.399 0.794
Y3 Y 0.602 0.602 0.194
Se4 Se 0.097 0.601 0.206
Y4 Y 0.204 0.194 0.398

=====

No. 2
# Tb2YSe4, optimized geometry, DFT GGA-PBE
# energy relative to the elements, uncorrected	-1840	meV/atom
# symmetry	Cmcm
# E	-85.08	eV per cell
# DOS at the Fermi energy	0.34	states/eV per atom
data_Tb2YSe4
_chemical_formula_sum 'Tb4 Y2 Se8'
_cell_length_a 3.977
_cell_length_b 7.045
_cell_length_c 13.846
_cell_angle_alpha 90.00
_cell_angle_beta 90.00
_cell_angle_gamma 106.39
_space_group_name_H-M_alt 'P 1'
_space_group_IT_number 1
_space_group_name_Hall 'P 1'
loop_
_atom_site_label
_atom_site_type_symbol
_atom_site_fract_x
_atom_site_fract_y
_atom_site_fract_z
Se1 Se 0.777 0.555 0.377
Se2 Se 0.223 0.445 0.623
Tb1 Tb 0.130 0.260 0.430
Se3 Se 0.223 0.445 0.877
Y1 Y 0.627 0.254 0.750
Se4 Se 0.972 0.944 0.750
Tb2 Tb 0.870 0.740 0.930
Se5 Se 0.500 0.000 0.000
Se6 Se 0.777 0.555 0.123
Se7 Se 0.028 0.056 0.250
Tb3 Tb 0.130 0.260 0.070
Tb4 Tb 0.870 0.740 0.570
Y2 Y 0.373 0.746 0.250
Se8 Se 0.500 0.000 0.500

=====

No. 3
# Tb2YSe, optimized geometry, DFT GGA-PBE
# energy relative to the elements, uncorrected	-820	meV/atom
# symmetry	R3m
# E	-22.49	eV per cell
# DOS at the Fermi energy	0.92	states/eV per atom
data_Tb2YSe
_chemical_formula_sum 'Tb2 Y1 Se1'
_cell_length_a 3.818
_cell_length_b 3.818
_cell_length_c 9.678
_cell_angle_alpha 78.63
_cell_angle_beta 78.63
_cell_angle_gamma 60.00
_space_group_name_H-M_alt 'P 1'
_space_group_IT_number 1
_space_group_name_Hall 'P 1'
loop_
_atom_site_label
_atom_site_type_symbol
_atom_site_fract_x
_atom_site_fract_y
_atom_site_fract_z
Tb1 Tb 0.066 0.066 0.803
Y1 Y 0.500 0.500 0.501
Tb2 Tb 0.268 0.268 0.196
Se1 Se 0.667 0.667 0.000

=====

No. 4
# TbY3Se4, optimized geometry, DFT GGA-PBE
# energy relative to the elements, uncorrected	-1758	meV/atom
# symmetry	Pm-3m
# E	-52.02	eV per cell
# DOS at the Fermi energy	0.64	states/eV per atom
data_TbY3Se4
_chemical_formula_sum 'Tb1 Y3 Se4'
_cell_length_a 5.784
_cell_length_b 5.784
_cell_length_c 5.784
_cell_angle_alpha 90.00
_cell_angle_beta 90.00
_cell_angle_gamma 90.00
_space_group_name_H-M_alt 'P 1'
_space_group_IT_number 1
_space_group_name_Hall 'P 1'
loop_
_atom_site_label
_atom_site_type_symbol
_atom_site_fract_x
_atom_site_fract_y
_atom_site_fract_z
Se1 Se 0.000 0.500 0.000
Tb1 Tb 0.000 0.000 0.000
Y1 Y 0.500 0.000 0.500
Y2 Y 0.500 0.500 0.000
Se2 Se 0.000 0.000 0.500
Se3 Se 0.500 0.000 0.000
Y3 Y 0.000 0.500 0.500
Se4 Se 0.500 0.500 0.500